Material: LiSc2Al2CuPt2
Method: DFT, PBE
State: relaxed

abc: 4.4593 4.4593 6.3148
angles: 90.00 90.00 90.00
Last column: nearest neighbours and their distance in Å.
Space group P-4m2 (No. 115)
Symmetry-distinct sites (fractional):
1 Li 0.0000 0.0000 0.0000 x1  4 Sc 2.73, 4 Al 2.74
2 Sc 0.0000 0.5000 0.7496 x2  2 Cu 2.73, 4 Pt 2.73, 2 Li 2.73
3 Al 0.0000 0.5000 0.2520 x2  2 Cu 2.72, 4 Pt 2.72-2.74, 2 Li 2.74
4 Cu 0.5000 0.5000 0.5000 x1  4 Al 2.72, 4 Sc 2.73
5 Pt 0.0000 0.0000 0.5000 x1  4 Al 2.72, 4 Sc 2.73
6 Pt 0.5000 0.5000 0.0000 x1  4 Sc 2.73, 4 Al 2.74

E_tot   -5.5809 eV per atom

---

Material: RbLaHgO3
Method: DFT, PBE
State: relaxed

abc: 3.8790 13.9550 9.2851
angles: 90.00 90.00 90.00
Last column: nearest neighbours and their distance in Å.
Space group Cmcm (No. 63)
Symmetry-distinct sites (fractional):
1 Rb 0.0000 0.1823 0.2500 x4  4 O 2.79-2.86
2 La 0.0000 0.5000 0.0000 x4  6 O 2.36-2.50
3 Hg 0.0000 0.1085 0.7500 x4  2 O 2.03
4 O 0.0000 0.1107 0.5310 x8  1 Hg 2.03
5 O 0.0000 0.4687 0.7500 x4  2 La 2.36

E_tot   -5.3628 eV per atom

---

Material: Li2Zn2CdGaAg2
Method: DFT, PBE
State: relaxed

abc: 4.4977 4.4977 6.3779
angles: 90.00 90.00 90.00
Last column: nearest neighbours and their distance in Å.
Space group P-4m2 (No. 115)
Symmetry-distinct sites (fractional):
1 Li 0.0000 0.0000 0.0000 x1  4 Ag 2.70, 4 Zn 2.72
2 Li 0.5000 0.5000 0.5000 x1  4 Zn 2.79, 4 Ag 2.82
3 Zn 0.0000 0.5000 0.2409 x2  4 Li 2.72-2.79, 2 Ga 2.72, 2 Cd 2.79, 1 Ag 3.02
4 Cd 0.0000 0.0000 0.5000 x1  4 Zn 2.79, 4 Ag 2.82
5 Ga 0.5000 0.5000 0.0000 x1  4 Ag 2.70, 4 Zn 2.72
6 Ag 0.0000 0.5000 0.7671 x2  4 Li 2.70-2.82, 2 Ga 2.70, 2 Cd 2.82

E_tot   -2.1707 eV per atom

---

Material: TcNiSnOs
Method: DFT, PBE
State: relaxed

abc: 6.2147 6.2147 6.2147
angles: 90.00 90.00 90.00
Last column: nearest neighbours and their distance in Å.
Space group F-43m (No. 216)
Symmetry-distinct sites (fractional):
1 Tc 0.0000 0.0000 0.0000 x4  4 Sn 2.69, 4 Os 2.69
2 Ni 0.0000 0.0000 0.5000 x4  4 Sn 2.69, 4 Os 2.69
3 Sn 0.2500 0.2500 0.2500 x4  4 Tc 2.69, 4 Ni 2.69
4 Os 0.2500 0.2500 0.7500 x4  4 Tc 2.69, 4 Ni 2.69

E_tot   -7.4762 eV per atom